Here is crystalline CaOsPt2 at its relaxed geometry from the Alexandria database. Energies are from PBEsol.

Output
The excess energy over the best structure of this formula in the dataset comes out at 0.4035 eV/atom. The calculation puts the density of states at the Fermi level at 9.70 states/eV per cell. The energy of formation from the pure elements comes out at 1.32 eV/f.u.

a b c (Å): 6.422 6.422 6.422
angles (deg): 90.00 90.00 90.00
Space group F-43m (No. 216)
Unique sites:
1 Ca 0.000 0.000 0.000 (multiplicity 4)
2 Os 0.250 0.250 0.750 (multiplicity 4)
3 Pt 0.000 0.000 0.500 (multiplicity 4)
4 Pt 0.250 0.250 0.250 (multiplicity 4)

Here is crystalline Cs3NaCl at its relaxed geometry from the Alexandria database. Energies are from PBEsol.

Output
The calculation puts the density of states at the Fermi level at 3.12 states/eV per cell. The formation energy (no corrections) comes out at -759 meV/atom.

a b c (Å): 6.813 6.813 6.813
angles (deg): 90.00 90.00 90.00
Space group Pm-3m (No. 221)
Unique sites:
1 Cs 0.000 0.000 0.500 (multiplicity 3)
2 Na 0.500 0.500 0.500 (multiplicity 1)
3 Cl 0.000 0.000 0.000 (multiplicity 1)

Here is crystalline Ni5Rh at its relaxed geometry from the Alexandria database. Energies are from PBEsol.

Output
The calculation puts the density of states at the Fermi level at 21.24 states/eV per cell. The energy of formation from the pure elements comes out at 0.33 eV/f.u.

a b c (Å): 4.061 2.531 12.903
angles (deg): 90.00 90.00 90.00
Space group Amm2 (No. 38)
Unique sites:
1 Ni 0.000 0.000 0.000 (multiplicity 2)
2 Ni 0.000 0.000 0.326 (multiplicity 2)
3 Ni 0.000 0.000 0.663 (multiplicity 2)
4 Ni 0.500 0.000 0.215 (multiplicity 2)
5 Ni 0.500 0.000 0.554 (multiplicity 2)
6 Rh 0.500 0.000 0.885 (multiplicity 2)